1.
This record from OQMD describes a geometry-optimized Na2Cd structure. The functional is GGA-PBE.

Structure (POSCAR):
```
Na2Cd
1.0
0.000 4.269 4.269
4.269 0.000 4.269
4.269 4.269 0.000
Na Cd
4 2
Cartesian
0.000 0.000 0.000
2.134 2.134 0.000
2.134 0.000 2.134
0.000 2.134 2.134
3.202 3.202 3.202
5.336 5.336 5.336
```



2.
This record from OQMD describes a geometry-optimized Na45Cd7 structure. The functional is GGA-PBE.

Structure (POSCAR):
```
Na45Cd7
1.0
12.899 -4.725 0.000
12.899 4.725 0.000
-4.002 0.000 12.996
Na Cd
45 7
Cartesian
0.000 0.000 0.000
2.797 1.811 8.295
-0.607 0.000 3.401
6.205 2.987 8.259
0.094 0.000 9.615
9.187 2.975 6.534
2.609 0.000 1.873
4.615 1.740 11.248
7.641 1.727 1.813
1.411 0.000 12.864
12.609 2.975 6.461
8.273 1.815 11.365
5.140 0.000 6.601
10.729 1.721 3.725
15.590 2.987 4.737
13.523 1.815 1.630
11.066 1.721 9.270
8.053 0.000 4.946
2.797 -1.811 8.295
8.106 0.000 8.402
10.512 0.000 0.723
4.615 -1.740 11.248
14.154 1.727 11.183
7.641 -1.727 1.813
17.181 1.740 1.747
11.283 0.000 12.273
13.690 0.000 4.594
18.999 1.811 4.700
13.742 0.000 8.050
10.729 -1.721 3.725
8.273 -1.815 11.365
6.205 -2.987 8.259
11.066 -1.721 9.270
16.656 0.000 6.394
13.523 -1.815 1.630
9.187 -2.975 6.534
20.384 0.000 0.132
14.154 -1.727 11.183
17.181 -1.740 1.747
19.187 0.000 11.122
12.609 -2.975 6.461
21.701 0.000 3.381
15.590 -2.987 4.737
22.403 0.000 9.595
18.999 -1.811 4.700
10.347 3.190 0.922
5.281 0.000 3.339
11.448 3.190 12.073
10.898 0.000 6.498
10.347 -3.190 0.922
16.514 0.000 9.657
11.448 -3.190 12.073
```



Computed calculated total energy (eV for the cell shown) in order:
-6.38, -65.93